[1]
Here is an optimized crystal structure of Ni2HgRhI from Alexandria via LeMat-Bulk. Energies are from PBE.

E_tot = -13.9 eV/cell
Fermi-level density of states = 0.96 states/eV per atom
formation energy (no corrections) = 1.378 eV/atom
symmetry = P4/mmm
crystal system = tetragonal
magnetization = 0.199 μB per atom

Cell: 4.5420 5.9232 4.5420 Å, 90.00 90.00 90.00°
Fractional coordinates of all 5 atoms:
Ni1 0.0000 0.0000 0.5000
I1 0.0000 0.0000 0.0000
Rh1 0.5000 0.5000 0.5000
Ni2 0.5000 0.0000 0.0000
Hg1 0.0000 0.5000 0.0000

[2]
Here is an optimized crystal structure of MoIrRh2 from Alexandria via LeMat-Bulk. Energies are from PBE.

E_tot = -34.9 eV/cell
Fermi-level density of states = 1.22 states/eV per atom
ΔH_f (0 K) = -126 meV per atom
symmetry = Cmmm
crystal system = orthorhombic
magnetization = 0.000 μB per atom

Cell: 4.7622 4.7622 2.7381 Å, 90.00 90.00 110.16°
Fractional coordinates of all 4 atoms:
Rh1 0.0000 0.0000 0.0000
Mo1 0.0000 0.5000 0.5000
Rh2 0.5000 0.5000 0.0000
Ir1 0.5000 0.0000 0.5000

[3]
Here is an optimized crystal structure of Pu3Mn3Ga from Alexandria via LeMat-Bulk. Energies are from PBE.

E_tot = -73.6 eV/cell
Fermi-level density of states = 1.70 states/eV per atom
ΔH_f (0 K) = -4 meV per atom
symmetry = R3m
crystal system = trigonal
magnetization = 1.410 μB per atom

Cell: 5.4523 5.4523 5.4523 Å, 109.69 109.69 109.69°
Fractional coordinates of all 7 atoms:
Pu1 0.5489 0.5489 0.1454
Pu2 0.5489 0.1454 0.5489
Mn1 0.0427 0.5249 0.0427
Mn2 0.0427 0.0427 0.5249
Mn3 0.5249 0.0427 0.0427
Pu3 0.1454 0.5489 0.5489
Ga1 0.9458 0.9458 0.9458

[4]
Here is an optimized crystal structure of BaMnW2 from Alexandria via LeMat-Bulk. Energies are from PBE.

E_tot = -29.9 eV/cell
Fermi-level density of states = 1.01 states/eV per atom
ΔH_f (0 K) = 1780 meV per atom
symmetry = P4/mmm
crystal system = tetragonal
magnetization = 0.590 μB per atom

Cell: 4.7965 4.7965 3.2807 Å, 90.00 90.00 90.00°
Fractional coordinates of all 4 atoms:
Ba1 0.5000 0.0000 0.5000
W1 0.0000 0.0000 0.0000
W2 0.5000 0.5000 0.0000
Mn1 0.0000 0.5000 0.5000

[5]
Here is an optimized crystal structure of ErGa3Fe from Alexandria via LeMat-Bulk. Energies are from PBE.

E_tot = -47.9 eV/cell
Fermi-level density of states = 0.71 states/eV per atom
ΔH_f (0 K) = -368 meV per atom
symmetry = P6_3/mmc
crystal system = hexagonal
magnetization = 0.406 μB per atom

Cell: 5.4038 6.1249 6.1249 Å, 120.00 90.00 90.00°
Fractional coordinates of all 10 atoms:
Ga1 0.7500 0.3810 0.1905
Ga2 0.2500 0.6190 0.8095
Er1 0.2500 0.6667 0.3333
Ga3 0.7500 0.8095 0.6190
Fe1 0.0000 0.0000 0.0000
Ga4 0.2500 0.1905 0.3810
Ga5 0.7500 0.8095 0.1905
Fe2 0.5000 0.0000 0.0000
Er2 0.7500 0.3333 0.6667
Ga6 0.2500 0.1905 0.8095

[6]
Here is an optimized crystal structure of Na5Al2Te5 from Alexandria via LeMat-Bulk. Energies are from PBE.

E_tot = -37.9 eV/cell
Fermi-level density of states = 0.18 states/eV per atom
formation energy (no corrections) = -0.676 eV/atom
symmetry = C2/m
crystal system = monoclinic
magnetization = 0.000 μB per atom

Cell: 4.3915 7.6201 12.3547 Å, 107.64 90.00 106.75°
Fractional coordinates of all 12 atoms:
Al1 0.9548 0.9095 0.2034
Te1 0.8959 0.7919 0.6119
Te2 0.6637 0.3274 0.7955
Al2 0.0452 0.0905 0.7966
Na1 0.6592 0.3184 0.0544
Te3 0.0000 0.0000 0.0000
Na2 0.7474 0.4949 0.3635
Te4 0.1041 0.2081 0.3881
Na3 0.3408 0.6816 0.9456
Na4 0.2526 0.5051 0.6365
Na5 0.5000 0.0000 0.5000
Te5 0.3363 0.6726 0.2045